[1]
Entry from the Alexandria database: crystalline Ac2TbPmPr2 at its relaxed geometry (GGA-PBE).

```
data_Ac2TbPmPr2
_space_group_name_H-M_alt 'P m m a'
_space_group_IT_number 51
_cell_length_a 7.388
_cell_length_b 5.970
_cell_length_c 10.284
_cell_angle_alpha 90.00
_cell_angle_beta 90.00
_cell_angle_gamma 90.00
loop_
_space_group_symop_operation_xyz
'x,y,z'
'-x,-y,-z'
'-x+1/2,-y,z'
'x+1/2,y,-z'
'x+1/2,-y,-z'
'-x+1/2,y,z'
'-x,y,-z'
'x,-y,z'
loop_
_atom_site_label
_atom_site_fract_x
_atom_site_fract_y
_atom_site_fract_z
Ac1 0.000 0.000 0.000
Ac2 0.250 0.500 0.174
Tb1 0.250 0.000 0.664
Pm1 0.000 0.500 0.500
Pr1 0.250 0.000 0.344
Pr2 0.250 0.500 0.827
```

Uncorrected energy, eV/atom: -4.4516
Formation energy from the elements, meV/atom: 74


[2]
Entry from the Alexandria database: crystalline LiTc2P at its relaxed geometry (GGA-PBE).

```
data_LiTc2P
_space_group_name_H-M_alt 'I -4 2 d'
_space_group_IT_number 122
_space_group_name_Hall 'I -4 2bw'
_cell_length_a 7.294
_cell_length_b 7.294
_cell_length_c 4.602
_cell_angle_alpha 90.00
_cell_angle_beta 90.00
_cell_angle_gamma 90.00
loop_
_atom_site_label
_atom_site_fract_x
_atom_site_fract_y
_atom_site_fract_z
Li1 0.000 0.000 0.000
Tc1 0.174 0.250 0.625
P1 0.000 0.000 0.500
```

Uncorrected energy, eV/atom: -6.9350
Formation energy from the elements, meV/atom: 79


[3]
Entry from the Alexandria database: crystalline NbPt2S at its relaxed geometry (GGA-PBE).

```
data_NbPt2S
_space_group_name_H-M_alt 'I -4 2 d'
_space_group_IT_number 122
_space_group_name_Hall 'I -4 2bw'
_cell_length_a 6.046
_cell_length_b 6.046
_cell_length_c 9.538
_cell_angle_alpha 90.00
_cell_angle_beta 90.00
_cell_angle_gamma 90.00
loop_
_atom_site_label
_atom_site_fract_x
_atom_site_fract_y
_atom_site_fract_z
Nb1 0.000 0.000 0.000
Pt1 0.233 0.250 0.625
S1 0.000 0.000 0.500
```

Uncorrected energy, eV/atom: -6.4638
Formation energy without anion corrections, kJ/mol of formula units: 40.9


Repeat the first record exactly.
Entry from the Alexandria database: crystalline Ac2TbPmPr2 at its relaxed geometry (GGA-PBE).

```
data_Ac2TbPmPr2
_space_group_name_H-M_alt 'P m m a'
_space_group_IT_number 51
_cell_length_a 7.388
_cell_length_b 5.970
_cell_length_c 10.284
_cell_angle_alpha 90.00
_cell_angle_beta 90.00
_cell_angle_gamma 90.00
loop_
_space_group_symop_operation_xyz
'x,y,z'
'-x,-y,-z'
'-x+1/2,-y,z'
'x+1/2,y,-z'
'x+1/2,-y,-z'
'-x+1/2,y,z'
'-x,y,-z'
'x,-y,z'
loop_
_atom_site_label
_atom_site_fract_x
_atom_site_fract_y
_atom_site_fract_z
Ac1 0.000 0.000 0.000
Ac2 0.250 0.500 0.174
Tb1 0.250 0.000 0.664
Pm1 0.000 0.500 0.500
Pr1 0.250 0.000 0.344
Pr2 0.250 0.500 0.827
```

Uncorrected energy, eV/atom: -4.4516
Formation energy from the elements, meV/atom: 74